# PBE-GGA Ba3SmRu2O9, relaxed
data_Ba3SmRu2O9
_chemical_formula_sum 'Ba6 Sm2 Ru4 O18'
_cell_length_a 5.994
_cell_length_b 5.994
_cell_length_c 14.777
_cell_angle_alpha 90.00
_cell_angle_beta 90.00
_cell_angle_gamma 120.00
_symmetry_space_group_name_H-M 'P 1'
_symmetry_Int_Tables_number 1
_symmetry_space_group_name_Hall 'P 1'
loop_
_atom_site_label
_atom_site_fract_x
_atom_site_fract_y
_atom_site_fract_z
Ba1 0.000 0.000 0.250
Ba2 0.000 0.000 0.750
Ba3 0.333 0.667 0.099
Ba4 0.333 0.667 0.401
Ba5 0.667 0.333 0.599
Ba6 0.667 0.333 0.901
Sm1 0.000 0.000 0.000
Sm2 0.000 0.000 0.500
Ru1 0.333 0.667 0.666
Ru2 0.333 0.667 0.834
Ru3 0.667 0.333 0.166
Ru4 0.667 0.333 0.334
O1 0.019 0.509 0.750
O2 0.178 0.355 0.591
O3 0.178 0.355 0.909
O4 0.178 0.822 0.591
O5 0.178 0.822 0.909
O6 0.355 0.178 0.091
O7 0.355 0.178 0.409
O8 0.491 0.509 0.750
O9 0.491 0.981 0.750
O10 0.509 0.019 0.250
O11 0.509 0.491 0.250
O12 0.645 0.822 0.591
O13 0.645 0.822 0.909
O14 0.822 0.178 0.091
O15 0.822 0.178 0.409
O16 0.822 0.645 0.091
O17 0.822 0.645 0.409
O18 0.981 0.491 0.250
# Energy above the most stable polymorph in this dataset = 0.0 kJ/mol of atoms
# Density of states at the Fermi level = 9.9 states/eV/cell
# Uncorrected formation energy = -2.17 eV/atom
# SG = P6_3/mmc, No. 194
# Spin magnetization = 2.989 μB/f.u.

---

# PBE-GGA BaSm2RuO8, relaxed
data_BaSm2RuO8
_chemical_formula_sum 'Ba1 Sm2 Ru1 O8'
_cell_length_a 4.273
_cell_length_b 5.392
_cell_length_c 7.208
_cell_angle_alpha 89.70
_cell_angle_beta 72.96
_cell_angle_gamma 89.56
_symmetry_space_group_name_H-M 'P 1'
_symmetry_Int_Tables_number 1
_symmetry_space_group_name_Hall 'P 1'
loop_
_atom_site_label
_atom_site_fract_x
_atom_site_fract_y
_atom_site_fract_z
Ba1 0.000 0.000 0.000
Sm1 0.331 0.484 0.301
Sm2 0.669 0.516 0.699
Ru1 0.500 0.000 0.500
O1 0.175 0.498 0.999
O2 0.181 0.240 0.626
O3 0.218 0.705 0.598
O4 0.387 0.034 0.257
O5 0.613 0.966 0.743
O6 0.782 0.295 0.402
O7 0.819 0.760 0.374
O8 0.825 0.502 0.001
# Density of states at the Fermi level = 3.9 states/eV/cell
# Uncorrected formation energy = -2.13 eV/atom
# SG = P-1, No. 2
# Spin magnetization = 2.019 μB/f.u.

---

# PBE-GGA BaSmRuO6, relaxed
data_BaSmRuO6
_chemical_formula_sum 'Ba1 Sm1 Ru1 O6'
_cell_length_a 5.692
_cell_length_b 5.692
_cell_length_c 5.601
_cell_angle_alpha 90.00
_cell_angle_beta 90.00
_cell_angle_gamma 120.00
_symmetry_space_group_name_H-M 'P 1'
_symmetry_Int_Tables_number 1
_symmetry_space_group_name_Hall 'P 1'
loop_
_atom_site_label
_atom_site_fract_x
_atom_site_fract_y
_atom_site_fract_z
Ba1 0.000 0.000 0.000
Sm1 0.333 0.667 0.500
Ru1 0.667 0.333 0.500
O1 0.398 0.050 0.697
O2 0.398 0.348 0.303
O3 0.652 0.050 0.303
O4 0.652 0.602 0.697
O5 0.950 0.348 0.697
O6 0.950 0.602 0.303
# Density of states at the Fermi level = 5.3 states/eV/cell
# Uncorrected formation energy = -1.90 eV/atom
# SG = P312, No. 149
# Spin magnetization = 1.040 μB/f.u.

---

# PBE-GGA BaSnRuO6, relaxed
data_BaSnRuO6
_chemical_formula_sum 'Ba2 Sn2 Ru2 O12'
_cell_length_a 5.424
_cell_length_b 5.424
_cell_length_c 11.491
_cell_angle_alpha 90.00
_cell_angle_beta 90.00
_cell_angle_gamma 120.00
_symmetry_space_group_name_H-M 'P 1'
_symmetry_Int_Tables_number 1
_symmetry_space_group_name_Hall 'P 1'
loop_
_atom_site_label
_atom_site_fract_x
_atom_site_fract_y
_atom_site_fract_z
Ba1 0.000 0.000 0.000
Ba2 0.000 0.000 0.500
Sn1 0.333 0.667 0.250
Sn2 0.667 0.333 0.750
Ru1 0.333 0.667 0.750
Ru2 0.667 0.333 0.250
O1 0.020 0.399 0.652
O2 0.020 0.621 0.848
O3 0.379 0.399 0.848
O4 0.379 0.980 0.652
O5 0.399 0.020 0.152
O6 0.399 0.379 0.348
O7 0.601 0.621 0.652
O8 0.601 0.980 0.848
O9 0.621 0.020 0.348
O10 0.621 0.601 0.152
O11 0.980 0.379 0.152
O12 0.980 0.601 0.348
# Density of states at the Fermi level = 10.7 states/eV/cell
# Uncorrected formation energy = -1.55 eV/atom
# SG = P-31c, No. 163
# Spin magnetization = 1.985 μB/f.u.

---

# PBE-GGA BaSr2RuO5, relaxed
data_BaSr2RuO5
_chemical_formula_sum 'Ba1 Sr2 Ru1 O5'
_cell_length_a 6.971
_cell_length_b 6.971
_cell_length_c 6.971
_cell_angle_alpha 147.63
_cell_angle_beta 128.56
_cell_angle_gamma 62.10
_symmetry_space_group_name_H-M 'P 1'
_symmetry_Int_Tables_number 1
_symmetry_space_group_name_Hall 'P 1'
loop_
_atom_site_label
_atom_site_fract_x
_atom_site_fract_y
_atom_site_fract_z
Ba1 0.000 0.000 0.000
Sr1 0.287 0.787 0.500
Sr2 0.713 0.213 0.500
Ru1 0.500 0.500 0.000
O1 0.137 0.373 0.764
O2 0.391 0.627 0.764
O3 0.500 0.000 0.500
O4 0.609 0.373 0.236
O5 0.863 0.627 0.236
# Density of states at the Fermi level = 2.6 states/eV/cell
# Uncorrected formation energy = -2.20 eV/atom
# SG = Immm, No. 71
# Spin magnetization = 1.359 μB/f.u.

---

# PBE-GGA BaSrRuO6, relaxed
data_BaSrRuO6
_chemical_formula_sum 'Ba1 Sr1 Ru1 O6'
_cell_length_a 5.867
_cell_length_b 5.867
_cell_length_c 5.416
_cell_angle_alpha 90.00
_cell_angle_beta 90.00
_cell_angle_gamma 120.00
_symmetry_space_group_name_H-M 'P 1'
_symmetry_Int_Tables_number 1
_symmetry_space_group_name_Hall 'P 1'
loop_
_atom_site_label
_atom_site_fract_x
_atom_site_fract_y
_atom_site_fract_z
Ba1 0.000 0.000 0.000
Sr1 0.333 0.667 0.500
Ru1 0.667 0.333 0.500
O1 0.403 0.070 0.700
O2 0.403 0.333 0.300
O3 0.667 0.070 0.300
O4 0.667 0.597 0.700
O5 0.930 0.333 0.700
O6 0.930 0.597 0.300
# Uncorrected formation energy = -1.57 eV/atom
# SG = P312, No. 149
# Spin magnetization = 0.000 μB/f.u.